i.
Computed, not measured: a relaxed GaHg2 crystal at the PBE level of DFT.

Lattice parameters (Å, degrees): 12.1594 12.1594 12.1594 90.00 90.00 90.00
Space group Fd-3m (No. 227, origin choice 2)
Unique sites:
Ga (0.1250, 0.1250, 0.1250) x8
Hg (0.0000, 0.0000, 0.0000) x16

=====

ii.
Computed, not measured: a relaxed GaHg2 crystal at the PBE level of DFT.

Lattice parameters (Å, degrees): 8.5427 8.5427 8.5427 90.00 90.00 90.00
Space group Fd-3m (No. 227, origin choice 2)
Unique sites:
Ga (0.1250, 0.1250, 0.1250) x8
Hg (0.0000, 0.0000, 0.5000) x16

=====

Quick one: most stable of them? ii

=====

i.
Computed, not measured: a relaxed NbGaHg crystal at the PBE level of DFT.

Lattice parameters (Å, degrees): 6.4437 6.4437 6.4437 90.00 90.00 90.00
Space group F-43m (No. 216)
Unique sites:
Nb (0.0000, 0.0000, 0.0000) x4
Ga (0.2500, 0.2500, 0.7500) x4
Hg (0.2500, 0.2500, 0.2500) x4

=====

ii.
Computed, not measured: a relaxed NbGaHg crystal at the PBE level of DFT.

Lattice parameters (Å, degrees): 6.2398 6.2398 6.2398 90.00 90.00 90.00
Space group F-43m (No. 216)
Unique sites:
Nb (0.0000, 0.0000, 0.0000) x4
Ga (0.2500, 0.2500, 0.7500) x4
Hg (0.0000, 0.0000, 0.5000) x4

=====

Quick one: most stable of them? ii